Below is crystalline HgAsO3 at its relaxed geometry, with properties calculated at the PBE level.

Output
ΔE_f (raw) in kcal/mol of atoms: -14.716
Uncorrected energy in eV/atom: -4.603
Mass density in g/cm³: 6.26

Lattice parameters (Å, degrees): 3.439 6.642 7.648 90.00 100.64 90.00
Space group P2_1/m (No. 11)
Asymmetric unit:
Hg  0.185  0.250  0.237 x2
As  0.471  0.750  0.221 x2
O  0.154  0.562  0.290 x4
O  0.405  0.750  0.994 x2

Below is crystalline CsCIN2 at its relaxed geometry, with properties calculated at the PBE level.

Output
ΔE_f (raw) in kcal/mol of atoms: 79.823
Uncorrected energy in eV/atom: -2.194
Polymorph energy (0 for the lowest one) in meV/atom: 1100
Mass density in g/cm³: 3.52

Lattice parameters (Å, degrees): 4.258 4.258 7.810 90.00 90.00 90.00
Space group P4/mmm (No. 123)
Asymmetric unit:
Cs  0.000  0.000  0.000 x1
C  0.500  0.500  0.500 x1
I  0.000  0.000  0.500 x1
N  0.000  0.500  0.000 x2

Below is crystalline K3LaCe2S6 at its relaxed geometry, with properties calculated at the PBE level.

Output
ΔE_f (raw) in kcal/mol of atoms: -42.259
Uncorrected energy in eV/atom: -5.570
Mass density in g/cm³: 3.51

Lattice parameters (Å, degrees): 7.356 12.741 7.755 90.00 108.43 90.00
Space group C2/m (No. 12)
Asymmetric unit:
K  0.000  0.000  0.000 x2
K  0.000  0.334  0.000 x4
La  0.000  0.500  0.500 x2
Ce  0.000  0.167  0.500 x4
S  0.232  0.000  0.707 x4
S  0.238  0.331  0.707 x8

Below is crystalline PrDy6Er at its relaxed geometry, with properties calculated at the PBE level.

Output
Uncorrected energy in eV/atom: -4.421
Formation energy from the elements in eV per atom: 0.198
Polymorph energy (0 for the lowest one) in meV/atom: 174
Mass density in g/cm³: 8.29

Lattice parameters (Å, degrees): 6.548 6.553 7.477 115.40 114.66 90.12
Space group P-1 (No. 2)
Asymmetric unit:
Pr  0.000  0.000  0.000 x1
Dy  0.092  0.268  0.535 x2
Dy  0.437  0.764  0.528 x2
Dy  0.498  0.747  0.001 x2
Er  0.000  0.500  0.000 x1